[1]
The following is a DFT calculation (PBE) of crystalline Nb2TlSbS at its relaxed geometry.

Cell: 4.6507 4.6507 5.5887 Å, 90.00 90.00 90.00°
Space group P4/mmm (No. 123)
One atom of each set of equivalent atoms:
Nb  0.0000  0.5000  0.0000
Tl  0.0000  0.0000  0.5000
Sb  0.5000  0.5000  0.5000
S  0.0000  0.0000  0.0000

Summary:
* volume: 120.9 Å³/f.u.
* Fermi-level density of states: 1.04 states/eV per atom
* uncorrected energy: -5.663 eV per atom
* energy relative to the elements, uncorrected: 0.488 eV/atom

***

[2]
The following is a DFT calculation (PBE) of crystalline ScNb2S6 at its relaxed geometry.

Cell: 12.2281 4.4915 8.5973 Å, 90.00 118.43 90.00°
Space group C2/m (No. 12)
One atom of each set of equivalent atoms:
Sc  0.0000  0.0000  0.0000
Nb  0.1691  0.0000  0.6209
S  0.0181  0.0000  0.7128
S  0.1437  0.5000  0.1050
S  0.1968  0.5000  0.5501

Summary:
* volume: 207.6 Å³/f.u.
* Fermi-level density of states: 0.57 states/eV per atom
* uncorrected energy: -6.640 eV per atom
* energy relative to the elements, uncorrected: -0.948 eV/atom

***

[3]
The following is a DFT calculation (PBE) of crystalline ScNb6S8 at its relaxed geometry.

Cell: 9.3521 9.3521 11.5327 Å, 90.00 90.00 120.00°
Space group R-3 (No. 148, hexagonal axes)
One atom of each set of equivalent atoms:
Sc  0.0000  0.0000  0.0000
Nb  0.0203  0.8356  0.3860
S  0.0000  0.0000  0.2199
S  0.0077  0.6296  0.2419

Summary:
* volume: 291.2 Å³/f.u.
* Fermi-level density of states: 0.63 states/eV per atom
* uncorrected energy: -7.631 eV per atom
* energy relative to the elements, uncorrected: -0.980 eV/atom

***

[4]
The following is a DFT calculation (PBE) of crystalline ScNb3S at its relaxed geometry.

Cell: 4.7864 4.7864 4.7864 Å, 90.00 90.00 90.00°
Space group Pm-3m (No. 221)
One atom of each set of equivalent atoms:
Sc  0.0000  0.0000  0.0000
Nb  0.0000  0.0000  0.5000
S  0.5000  0.5000  0.5000

Summary:
* volume: 109.7 Å³/f.u.
* Fermi-level density of states: 0.96 states/eV per atom
* uncorrected energy: -6.381 eV per atom
* energy relative to the elements, uncorrected: 1.753 eV/atom
* excess energy over the best structure of this formula in the dataset: 1839.4 meV/atom